# BaAgSnHg2

A relaxed structure of BaAgSnHg2 (GGA-PBE, Alexandria).

Lattice parameters (Å, degrees): 5.020 5.054 6.757 111.96 111.81 90.00
Atoms (fractional coordinates):
1 Hg 0.699 0.199 0.397
2 Sn 0.199 0.699 0.398
3 Ag 0.813 0.813 0.625
4 Hg 0.054 0.054 0.108
5 Ba 0.448 0.448 0.895

**E**: -11.05 eV per cell
**Energy of formation**: -0.333 eV/atom
**Fermi-level density of states**: 0.5076 states/eV per atom

# Ba2AgSn4Hg3

A relaxed structure of Ba2AgSn4Hg3 (GGA-PBE, Alexandria).

Lattice parameters (Å, degrees): 4.969 4.969 12.048 90.00 90.00 90.00
Atoms (fractional coordinates):
1 Sn 0.500 0.500 0.000
2 Sn 0.000 0.000 0.000
3 Hg 0.500 0.000 0.859
4 Sn 0.000 0.500 0.375
5 Hg 0.000 0.500 0.141
6 Sn 0.500 0.000 0.625
7 Hg 0.000 0.000 0.500
8 Ag 0.500 0.500 0.500
9 Ba 0.500 0.000 0.259
10 Ba 0.000 0.500 0.741

**E**: -27.53 eV per cell
**Energy of formation**: -0.391 eV/atom
**Fermi-level density of states**: 0.2658 states/eV per atom

# Ba2Ag3SnHg12

A relaxed structure of Ba2Ag3SnHg12 (GGA-PBE, Alexandria).

Lattice parameters (Å, degrees): 12.566 12.566 12.566 32.84 32.84 32.84
Atoms (fractional coordinates):
1 Hg 0.883 0.414 0.883
2 Hg 0.170 0.593 0.593
3 Hg 0.407 0.407 0.830
4 Hg 0.414 0.883 0.883
5 Hg 0.593 0.170 0.593
6 Ba 0.363 0.363 0.363
7 Hg 0.117 0.586 0.117
8 Hg 0.830 0.407 0.407
9 Ag 0.000 0.000 0.500
10 Hg 0.586 0.117 0.117
11 Hg 0.407 0.830 0.407
12 Sn 0.000 0.000 0.000
13 Ag 0.500 0.000 0.000
14 Ba 0.637 0.637 0.637
15 Ag 0.000 0.500 0.000
16 Hg 0.593 0.593 0.170
17 Hg 0.117 0.117 0.586
18 Hg 0.883 0.883 0.414

**E**: -21.64 eV per cell
**Energy of formation**: -0.090 eV/atom
**Fermi-level density of states**: 0.2956 states/eV per atom

# Ba2AgSn6Hg

A relaxed structure of Ba2AgSn6Hg (GGA-PBE, Alexandria).

Lattice parameters (Å, degrees): 7.010 7.010 16.282 77.57 77.57 60.00
Atoms (fractional coordinates):
1 Ba 0.687 0.687 0.939
2 Sn 0.805 0.245 0.144
3 Sn 0.341 0.919 0.400
4 Sn 0.659 0.081 0.600
5 Sn 0.755 0.195 0.856
6 Ag 0.000 0.000 0.000
7 Hg 0.577 0.577 0.270
8 Hg 0.423 0.423 0.730
9 Ba 0.882 0.882 0.355
10 Sn 0.081 0.659 0.600
11 Sn 0.245 0.805 0.144
12 Sn 0.805 0.805 0.144
13 Sn 0.659 0.659 0.600
14 Sn 0.195 0.195 0.856
15 Sn 0.919 0.341 0.400
16 Sn 0.195 0.755 0.856
17 Sn 0.341 0.341 0.400
18 Ba 0.118 0.118 0.645
19 Ba 0.313 0.313 0.061
20 Ag 0.500 0.500 0.500

**E**: -66.01 eV per cell
**Energy of formation**: -0.199 eV/atom
**Fermi-level density of states**: 0.5193 states/eV per atom

# BaAg2SnHg

A relaxed structure of BaAg2SnHg (GGA-PBE, Alexandria).

Lattice parameters (Å, degrees): 4.838 4.815 6.853 110.56 110.67 90.00
Atoms (fractional coordinates):
1 Ba 0.440 0.440 0.881
2 Sn 0.185 0.685 0.371
3 Ag 0.066 0.066 0.132
4 Hg 0.829 0.829 0.659
5 Ag 0.691 0.191 0.381

**E**: -13.46 eV per cell
**Energy of formation**: -0.305 eV/atom
**Fermi-level density of states**: 0.3169 states/eV per atom

# BaSrAgHg

A relaxed structure of BaSrAgHg (GGA-PBE, Alexandria).

Lattice parameters (Å, degrees): 4.570 5.021 6.659 90.00 110.07 90.00
Atoms (fractional coordinates):
1 Sr 0.137 0.000 0.275
2 Ag 0.430 0.000 0.859
3 Ba 0.858 0.500 0.716
4 Hg 0.575 0.500 0.150

**Offset from the most stable computed form**: 0.0 meV/atom
**E**: -8.32 eV per cell
**Energy of formation**: -0.390 eV/atom
**Fermi-level density of states**: 0.5998 states/eV per atom

Copy entry 4 word for word.
# Ba2AgSn6Hg

A relaxed structure of Ba2AgSn6Hg (GGA-PBE, Alexandria).

Lattice parameters (Å, degrees): 7.010 7.010 16.282 77.57 77.57 60.00
Atoms (fractional coordinates):
1 Ba 0.687 0.687 0.939
2 Sn 0.805 0.245 0.144
3 Sn 0.341 0.919 0.400
4 Sn 0.659 0.081 0.600
5 Sn 0.755 0.195 0.856
6 Ag 0.000 0.000 0.000
7 Hg 0.577 0.577 0.270
8 Hg 0.423 0.423 0.730
9 Ba 0.882 0.882 0.355
10 Sn 0.081 0.659 0.600
11 Sn 0.245 0.805 0.144
12 Sn 0.805 0.805 0.144
13 Sn 0.659 0.659 0.600
14 Sn 0.195 0.195 0.856
15 Sn 0.919 0.341 0.400
16 Sn 0.195 0.755 0.856
17 Sn 0.341 0.341 0.400
18 Ba 0.118 0.118 0.645
19 Ba 0.313 0.313 0.061
20 Ag 0.500 0.500 0.500

**E**: -66.01 eV per cell
**Energy of formation**: -0.199 eV/atom
**Fermi-level density of states**: 0.5193 states/eV per atom

Q: Which formula does entry 5 have?
A: BaAg2SnHg

Q: Among the records above, which one has the highest Fermi-level density of states?
A: BaSrAgHg